GaHgPO2: optimized geometry, PBE.

Properties
SG = P4/mmm
E = -15.58 eV per cell
spin magnetization = 0.51 μB per formula unit

a b c (Å): 4.124 4.124 5.270
angles (deg): 90.00 90.00 90.00
Atoms (fractional coordinates):
Ga 0.000 0.000 0.000
Hg 0.500 0.500 0.500
P 0.500 0.500 0.000
O 0.000 0.500 0.500
O 0.500 0.000 0.500



Ce5As4S: optimized geometry, PBE.

Properties
SG = I4/mmm
E = -67.83 eV per cell
spin magnetization = 3.90 μB per formula unit

a b c (Å): 15.085 15.085 15.085
angles (deg): 164.05 164.05 22.63
Atoms (fractional coordinates):
Ce 0.000 0.000 0.000
Ce 0.200 0.200 0.000
Ce 0.402 0.402 0.000
Ce 0.598 0.598 0.000
Ce 0.800 0.800 0.000
As 0.099 0.099 0.000
As 0.301 0.301 0.000
As 0.699 0.699 0.000
As 0.901 0.901 0.000
S 0.500 0.500 0.000



ErLuS: optimized geometry, PBE.

Properties
SG = P3m1
E = -16.98 eV per cell
spin magnetization = 0.00 μB per formula unit

a b c (Å): 3.703 3.703 6.178
angles (deg): 90.00 90.00 120.00
Atoms (fractional coordinates):
Er 0.000 0.000 0.000
Lu 0.333 0.667 0.538
S 0.667 0.333 0.273



PmNdGeSe: optimized geometry, PBE.

Properties
SG = R3m
E = -23.22 eV per cell
spin magnetization = 0.00 μB per formula unit

a b c (Å): 7.428 7.428 7.428
angles (deg): 33.31 33.31 33.31
Atoms (fractional coordinates):
Pm 0.000 0.000 0.000
Nd 0.494 0.494 0.494
Ge 0.746 0.746 0.746
Se 0.248 0.248 0.248



Q: spin magnetization of number 3 (ErLuS)?
A: 0.00 μB per formula unit